V2ZnCrPt | PBE-GGA | optimized geometry

* DOS(E_F): 11.5 states/eV per cell
* SG: P4/mmm, No. 123
* energy of formation from the pure elements: 6.944 eV per formula unit

POSCAR file:
```
V2ZnCrPt
1.0
4.704 0.000 0.000
0.000 4.704 0.000
0.000 0.000 4.664
V Zn Cr Pt
2 1 1 1
Direct
0.000 0.500 0.000
0.500 0.000 0.000
0.000 0.000 0.500
0.500 0.500 0.500
0.000 0.000 0.000
```

CrPt2W | PBE-GGA | optimized geometry

* DOS(E_F): 4.4 states/eV per cell
* distance to the lowest polymorph of the same formula: 0.68 eV/f.u.
* SG: P4mm, No. 99
* energy of formation from the pure elements: -0.129 eV per formula unit

POSCAR file:
```
CrPt2W
1.0
3.262 0.000 0.000
0.000 3.262 0.000
0.000 0.000 5.660
Cr Pt W
1 2 1
Direct
0.000 0.000 0.000
0.000 0.000 0.496
0.500 0.500 0.220
0.500 0.500 0.748
```

CrPt4W | PBE-GGA | optimized geometry

* DOS(E_F): 5.7 states/eV per cell
* SG: F-43m, No. 216
* energy of formation from the pure elements: 1.483 eV per formula unit

POSCAR file:
```
CrPt4W
1.0
0.000 3.669 3.669
3.669 0.000 3.669
3.669 3.669 0.000
Cr Pt W
1 4 1
Direct
0.000 0.000 0.000
0.375 0.375 0.375
0.375 0.375 0.875
0.375 0.875 0.375
0.875 0.375 0.375
0.750 0.750 0.750
```

CrPt2W | PBE-GGA | optimized geometry

* DOS(E_F): 4.3 states/eV per cell
* distance to the lowest polymorph of the same formula: 0.13 eV/f.u.
* SG: Cmmm, No. 65
* energy of formation from the pure elements: -0.681 eV per formula unit

POSCAR file:
```
CrPt2W
1.0
2.713 -3.999 0.000
2.713 3.999 0.000
0.000 0.000 2.748
Cr Pt W
1 2 1
Direct
0.000 0.000 0.000
0.000 0.500 0.500
0.500 0.000 0.500
0.500 0.500 0.000
```

> Among the records above, which one has the lowest DOS(E_F)?

number 4

> What is the formula in the third record?

CrPt4W